! Tb2Ni12GeH3 GGA-PBE optimized geometry; values from VASP
&SYSTEM
  ibrav = 0, nat = 18, ntyp = 4
/
ATOMIC_SPECIES
H 1.01 H.upf
Ni 58.69 Ni.upf
Tb 158.93 Tb.upf
Ge 72.64 Ge.upf
CELL_PARAMETERS angstrom
6.888 0.245 0.174
3.615 5.868 0.174
3.615 2.104 5.481
ATOMIC_POSITIONS crystal
H 0.000 0.500 0.000
Ni 0.282 0.906 0.282
Tb 0.402 0.402 0.402
Ni 0.865 0.443 0.865
H 0.500 0.000 0.000
Ni 0.135 0.135 0.557
Ni 0.282 0.282 0.906
Ni 0.718 0.094 0.718
Ge 0.000 0.000 0.000
Ni 0.135 0.557 0.135
Ni 0.865 0.865 0.443
Tb 0.598 0.598 0.598
Ni 0.094 0.718 0.718
Ni 0.906 0.282 0.282
Ni 0.443 0.865 0.865
Ni 0.557 0.135 0.135
H 0.000 0.000 0.500
Ni 0.718 0.718 0.094
! E (eV/atom): -5.30
! Density (g cm⁻³): 8.6
! Size of the total moment (Bohr magnetons per cell): 0.00
! Symmetry: R-3m



! TcNi2GeH GGA-PBE optimized geometry; values from VASP
&SYSTEM
  ibrav = 0, nat = 5, ntyp = 4
/
ATOMIC_SPECIES
Ge 72.64 Ge.upf
Ni 58.69 Ni.upf
H 1.01 H.upf
Tc 98.00 Tc.upf
CELL_PARAMETERS angstrom
3.664 0.000 0.000
0.000 3.664 0.000
0.000 0.000 3.932
ATOMIC_POSITIONS crystal
Ge 0.500 0.500 0.500
Ni 0.500 0.000 0.000
H 0.000 0.000 0.000
Ni 0.000 0.500 0.000
Tc 0.000 0.000 0.500
! E (eV/atom): -6.08
! Density (g cm⁻³): 9.1
! Size of the total moment (Bohr magnetons per cell): 0.03
! Symmetry: P4/mmm



! TcNiGe2H GGA-PBE optimized geometry; values from VASP
&SYSTEM
  ibrav = 0, nat = 5, ntyp = 4
/
ATOMIC_SPECIES
Tc 98.00 Tc.upf
H 1.01 H.upf
Ge 72.64 Ge.upf
Ni 58.69 Ni.upf
CELL_PARAMETERS angstrom
4.234 0.000 0.000
0.000 3.377 0.000
0.000 0.000 4.234
ATOMIC_POSITIONS crystal
Tc 0.000 0.500 0.000
H 0.000 0.000 0.000
Ge 0.000 0.000 0.500
Ni 0.500 0.500 0.500
Ge 0.500 0.000 0.000
! Density (g cm⁻³): 8.3
! Size of the total moment (Bohr magnetons per cell): 0.00
! Symmetry: P4/mmm
! ΔE to the lowest computed polymorph (meV/atom): 0



! TcNiGe2H GGA-PBE optimized geometry; values from VASP
&SYSTEM
  ibrav = 0, nat = 5, ntyp = 4
/
ATOMIC_SPECIES
Ge 72.64 Ge.upf
Tc 98.00 Tc.upf
Ni 58.69 Ni.upf
H 1.01 H.upf
CELL_PARAMETERS angstrom
-3.302 -3.273 1.002
2.454 -2.211 0.865
-0.181 1.556 4.491
ATOMIC_POSITIONS crystal
Ge 0.500 0.000 0.000
Tc 0.000 0.000 0.000
Ni 0.500 0.500 0.500
H 0.000 0.500 0.000
Ge 0.000 0.000 0.500
! Density (g cm⁻³): 6.5
! Size of the total moment (Bohr magnetons per cell): 0.00
! Symmetry: P4/mmm
! ΔE to the lowest computed polymorph (meV/atom): 336



! ThNiGeH GGA-PBE optimized geometry; values from VASP
&SYSTEM
  ibrav = 0, nat = 4, ntyp = 4
/
ATOMIC_SPECIES
Th 232.04 Th.upf
Ge 72.64 Ge.upf
H 1.01 H.upf
Ni 58.69 Ni.upf
CELL_PARAMETERS angstrom
-2.698 2.713 -1.740
1.843 -2.943 -2.369
-3.073 -2.555 0.783
ATOMIC_POSITIONS crystal
Th 0.905 0.810 0.805
Ge 0.572 0.144 0.318
H 0.239 0.477 0.856
Ni 0.239 0.477 0.260
! E (eV/atom): -6.03
! Density (g cm⁻³): 9.7
! Size of the total moment (Bohr magnetons per cell): 0.00
! Symmetry: P3m1



! Ti2Ni5Ge3H2 GGA-PBE optimized geometry; values from VASP
&SYSTEM
  ibrav = 0, nat = 12, ntyp = 4
/
ATOMIC_SPECIES
Ni 58.69 Ni.upf
Ti 47.87 Ti.upf
Ge 72.64 Ge.upf
H 1.01 H.upf
CELL_PARAMETERS angstrom
-2.012 -3.022 0.396
2.817 -2.024 -1.143
2.824 1.626 9.920
ATOMIC_POSITIONS crystal
Ni 0.910 0.410 0.819
Ti 0.303 0.303 0.606
Ni 0.590 0.090 0.181
Ge 0.000 0.000 0.000
Ni 0.500 0.500 0.000
Ge 0.825 0.825 0.651
Ni 0.410 0.910 0.819
H 0.413 0.413 0.825
Ti 0.697 0.697 0.394
H 0.587 0.587 0.175
Ni 0.090 0.590 0.181
Ge 0.175 0.175 0.349
! E (eV/atom): -5.86
! Density (g cm⁻³): 7.5
! Size of the total moment (Bohr magnetons per cell): 0.00
! Symmetry: I4/mmm



! Ti2NiGeH GGA-PBE optimized geometry; values from VASP
&SYSTEM
  ibrav = 0, nat = 5, ntyp = 4
/
ATOMIC_SPECIES
Ge 72.64 Ge.upf
H 1.01 H.upf
Ti 47.87 Ti.upf
Ni 58.69 Ni.upf
CELL_PARAMETERS angstrom
3.983 0.000 0.000
0.000 3.983 0.000
0.000 0.000 3.749
ATOMIC_POSITIONS crystal
Ge 0.500 0.500 0.500
H 0.000 0.000 0.000
Ti 0.500 0.000 0.000
Ti 0.000 0.500 0.000
Ni 0.000 0.000 0.500
! E (eV/atom): -6.40
! Density (g cm⁻³): 6.4
! Size of the total moment (Bohr magnetons per cell): 0.00
! Symmetry: P4/mmm



! TmNi2GeH GGA-PBE optimized geometry; values from VASP
&SYSTEM
  ibrav = 0, nat = 10, ntyp = 4
/
ATOMIC_SPECIES
Ni 58.69 Ni.upf
Ge 72.64 Ge.upf
H 1.01 H.upf
Tm 168.93 Tm.upf
CELL_PARAMETERS angstrom
-3.491 -0.508 -1.271
1.881 -4.586 2.198
-2.482 1.888 6.062
ATOMIC_POSITIONS crystal
Ni 0.159 0.318 0.556
Ni 0.841 0.682 0.444
Ge 0.275 0.550 0.250
Ni 0.159 0.318 0.944
Ge 0.725 0.450 0.750
H 0.000 0.000 0.000
H 0.000 0.000 0.500
Tm 0.442 0.884 0.750
Ni 0.841 0.682 0.056
Tm 0.558 0.116 0.250
! E (eV/atom): -5.42
! Density (g cm⁻³): 9.2
! Size of the total moment (Bohr magnetons per cell): 0.00
! Symmetry: Cmcm



! TmNiGeH GGA-PBE optimized geometry; values from VASP
&SYSTEM
  ibrav = 0, nat = 8, ntyp = 4
/
ATOMIC_SPECIES
H 1.01 H.upf
Tm 168.93 Tm.upf
Ge 72.64 Ge.upf
Ni 58.69 Ni.upf
CELL_PARAMETERS angstrom
3.919 0.000 0.000
0.000 3.919 0.000
0.000 0.000 7.137
ATOMIC_POSITIONS crystal
H 0.000 0.000 0.500
Tm 0.000 0.500 0.339
Ge 0.500 0.000 0.186
Ni 0.000 0.000 0.000
H 0.500 0.500 0.500
Ni 0.500 0.500 0.000
Ge 0.000 0.500 0.814
Tm 0.500 0.000 0.661
! E (eV/atom): -5.26
! Density (g cm⁻³): 9.1
! Size of the total moment (Bohr magnetons per cell): 0.00
! Symmetry: P4/nmm



! V2NiGeH GGA-PBE optimized geometry; values from VASP
&SYSTEM
  ibrav = 0, nat = 5, ntyp = 4
/
ATOMIC_SPECIES
V 50.94 V.upf
Ni 58.69 Ni.upf
H 1.01 H.upf
Ge 72.64 Ge.upf
CELL_PARAMETERS angstrom
3.678 0.000 0.000
0.000 3.678 0.000
0.000 0.000 3.950
ATOMIC_POSITIONS crystal
V 0.500 0.000 0.000
V 0.000 0.500 0.000
Ni 0.000 0.000 0.500
H 0.000 0.000 0.000
Ge 0.500 0.500 0.500
! E (eV/atom): -6.66
! Density (g cm⁻³): 7.3
! Size of the total moment (Bohr magnetons per cell): 0.00
! Symmetry: P4/mmm



! VNi2GeH GGA-PBE optimized geometry; values from VASP
&SYSTEM
  ibrav = 0, nat = 5, ntyp = 4
/
ATOMIC_SPECIES
Ni 58.69 Ni.upf
Ge 72.64 Ge.upf
V 50.94 V.upf
H 1.01 H.upf
CELL_PARAMETERS angstrom
-0.505 -3.293 1.356
3.180 0.199 1.669
-1.767 1.579 3.178
ATOMIC_POSITIONS crystal
Ni 0.000 0.500 0.000
Ge 0.500 0.500 0.500
V 0.000 0.000 0.500
Ni 0.500 0.000 0.000
H 0.000 0.000 0.000
! E (eV/atom): -5.94
! Density (g cm⁻³): 7.8
! Size of the total moment (Bohr magnetons per cell): 0.00
! Symmetry: P4/mmm



! Ni2GeHW GGA-PBE optimized geometry; values from VASP
&SYSTEM
  ibrav = 0, nat = 5, ntyp = 4
/
ATOMIC_SPECIES
H 1.01 H.upf
Ni 58.69 Ni.upf
Ge 72.64 Ge.upf
W 183.84 W.upf
CELL_PARAMETERS angstrom
3.688 0.000 0.000
0.000 3.688 0.000
0.000 0.000 4.013
ATOMIC_POSITIONS crystal
H 0.000 0.000 0.000
Ni 0.000 0.500 0.000
Ni 0.500 0.000 0.000
Ge 0.500 0.500 0.500
W 0.000 0.000 0.500
! E (eV/atom): -6.46
! Density (g cm⁻³): 11.4
! Size of the total moment (Bohr magnetons per cell): 0.42
! Symmetry: P4/mmm